First-principles (PBE-GGA) data for an optimized crystal structure of Np2SeN, as listed in Alexandria via LeMat-Bulk.

a b c (Å): 3.2341 3.2341 6.7534
angles (deg): 90.00 90.00 90.00
Sites, in units of the cell vectors:
Np 0.0000 0.0000 0.2086
Np 0.0000 0.0000 0.7914
Se 0.5000 0.5000 0.5000
N 0.5000 0.5000 0.0000

Energy relative to the lowest polymorph listed for this composition in meV/atom: 472
ΔE_f (raw) in meV/atom: -551
Raw total energy in eV per atom: -9.974

First-principles (PBE-GGA) data for an optimized crystal structure of SmNpSeN2, as listed in Alexandria via LeMat-Bulk.

a b c (Å): 3.8433 3.8433 12.3566
angles (deg): 90.00 90.00 90.00
Sites, in units of the cell vectors:
Sm 0.0000 0.0000 0.0000
Sm 0.5000 0.5000 0.5000
Np 0.0000 0.0000 0.3125
Np 0.5000 0.5000 0.8125
Se 0.0000 0.0000 0.6531
Se 0.5000 0.5000 0.1531
N 0.0000 0.5000 0.3907
N 0.0000 0.5000 0.8907
N 0.5000 0.0000 0.3907
N 0.5000 0.0000 0.8907

ΔE_f (raw) in meV/atom: -1375
Raw total energy in eV per atom: -8.934

First-principles (PBE-GGA) data for an optimized crystal structure of SmNpSe2N, as listed in Alexandria via LeMat-Bulk.

a b c (Å): 3.9540 3.9540 14.7737
angles (deg): 90.00 90.00 90.00
Sites, in units of the cell vectors:
Sm 0.2500 0.2500 0.1301
Sm 0.7500 0.7500 0.8699
Np 0.2500 0.2500 0.5750
Np 0.7500 0.7500 0.4250
Se 0.2500 0.2500 0.3185
Se 0.2500 0.2500 0.9120
Se 0.7500 0.7500 0.0880
Se 0.7500 0.7500 0.6815
N 0.2500 0.7500 0.5000
N 0.7500 0.2500 0.5000

ΔE_f (raw) in meV/atom: -1508
Raw total energy in eV per atom: -8.099

First-principles (PBE-GGA) data for an optimized crystal structure of Sm2NpSe2N2, as listed in Alexandria via LeMat-Bulk.

a b c (Å): 12.2403 3.9326 7.1759
angles (deg): 90.00 121.84 90.00
Sites, in units of the cell vectors:
Sm 0.1961 0.0000 0.2470
Sm 0.3039 0.5000 0.7530
Sm 0.6961 0.5000 0.2470
Sm 0.8039 0.0000 0.7530
Np 0.0000 0.0000 0.5000
Np 0.5000 0.5000 0.5000
Se 0.0736 0.5000 0.8460
Se 0.4264 0.0000 0.1540
Se 0.5736 0.0000 0.8460
Se 0.9264 0.5000 0.1540
N 0.1848 0.0000 0.5697
N 0.3152 0.5000 0.4303
N 0.6848 0.5000 0.5697
N 0.8152 0.0000 0.4303

ΔE_f (raw) in meV/atom: -1599
Raw total energy in eV per atom: -8.170